No. 1
Zr2CoPt: single point on PBEsol structure, meta-GGA SCAN.

a = 3.886 Å, b = 3.603 Å, c = 5.310 Å
α = 90.00°, β = 98.39°, γ = 90.00°
Fractional positions:
Zr: 0.000 0.000 0.000
Zr: 0.500 0.500 0.500
Co: 0.000 0.000 0.500
Pt: 0.500 0.500 0.000

Results
- M_tot (μB/f.u.) = 0.000
- DOS at the Fermi energy (states/eV per atom) = 0.6602
- formation energy (meV per atom) = -404
- electronic total energy (eV per atom) = -37.63

---

No. 2
LaSi2Br: single point on PBEsol structure, meta-GGA SCAN.

a = 3.807 Å, b = 5.422 Å, c = 8.839 Å
α = 90.00°, β = 90.00°, γ = 90.00°
Fractional positions:
La: 0.000 0.000 0.000
La: 0.500 0.500 0.500
Si: 0.000 0.000 0.422
Si: 0.000 0.500 0.772
Si: 0.500 0.000 0.272
Si: 0.500 0.500 0.922
Br: 0.000 0.500 0.204
Br: 0.500 0.000 0.704

Results
- raw formation energy (eV per atom) = -0.532
- M_tot (μB/f.u.) = 0.000
- energy above the most stable polymorph in this dataset (meV/atom) = 75
- DOS at the Fermi energy (states/eV per atom) = 0.4163
- electronic total energy (eV per atom) = -21.18

---

No. 3
CuNiAs2: single point on PBEsol structure, meta-GGA SCAN.

a = 4.412 Å, b = 3.879 Å, c = 7.481 Å
α = 90.00°, β = 90.00°, γ = 90.00°
Fractional positions:
Cu: 0.000 0.000 0.000
Cu: 0.000 0.500 0.500
Ni: 0.500 0.000 0.831
Ni: 0.500 0.500 0.331
As: 0.000 0.000 0.689
As: 0.000 0.500 0.189
As: 0.500 0.000 0.151
As: 0.500 0.500 0.651

Results
- M_tot (μB/f.u.) = 0.000
- DOS at the Fermi energy (states/eV per atom) = 0.3654
- formation energy (meV per atom) = -101
- electronic total energy (eV per atom) = -18.04

---

No. 4
CuRh2Cl: single point on PBEsol structure, meta-GGA SCAN.

a = 2.756 Å, b = 4.874 Å, c = 8.339 Å
α = 90.00°, β = 90.00°, γ = 90.00°
Fractional positions:
Cu: 0.000 0.000 0.000
Cu: 0.500 0.500 0.000
Rh: 0.000 0.000 0.513
Rh: 0.000 0.500 0.253
Rh: 0.500 0.000 0.253
Rh: 0.500 0.500 0.513
Cl: 0.000 0.500 0.765
Cl: 0.500 0.000 0.765

Results
- raw formation energy (eV per atom) = 0.355
- M_tot (μB/f.u.) = 0.000
- energy above the most stable polymorph in this dataset (meV/atom) = 0
- DOS at the Fermi energy (states/eV per atom) = 0.9989
- electronic total energy (eV per atom) = -22.32

---

Look up the M_tot of the first one.
0.000 μB/f.u.